{
  "formula": "BaAsPdO2",
  "functional": "PBE",
  "state": "optimized geometry",
  "cell": [[4.309, 0.000, 0.000], [0.000, 4.309, 0.000], [0.000, 0.000, 4.693]],
  "species": ["Ba", "As", "Pd", "O", "O"],
  "frac_coords": [[0.000, 0.000, 0.000], [0.500, 0.500, 0.500], [0.500, 0.500, 0.000], [0.000, 0.500, 0.500], [0.500, 0.000, 0.500]],
  "sg": "P4/mmm, No. 123",
  "crystal_system": "tetragonal",
  "energy_ev_per_cell": -26.58
}

---

{
  "formula": "Ba2PmAsO6",
  "functional": "PBE",
  "state": "optimized geometry",
  "cell": [[2.982, 1.722, 10.426], [-2.982, 1.722, 10.426], [0.000, -3.444, 10.426]],
  "species": ["Ba", "Ba", "Ba", "Ba", "Pm", "Pm", "As", "As", "O", "O", "O", "O", "O", "O", "O", "O", "O", "O", "O", "O"],
  "frac_coords": [[0.138, 0.138, 0.138], [0.293, 0.293, 0.293], [0.707, 0.707, 0.707], [0.862, 0.862, 0.862], [0.407, 0.407, 0.407], [0.593, 0.593, 0.593], [0.000, 0.000, 0.000], [0.500, 0.500, 0.500], [0.165, 0.614, 0.614], [0.184, 0.184, 0.733], [0.184, 0.733, 0.184], [0.267, 0.816, 0.816], [0.386, 0.386, 0.835], [0.386, 0.835, 0.386], [0.614, 0.165, 0.614], [0.614, 0.614, 0.165], [0.733, 0.184, 0.184], [0.816, 0.267, 0.816], [0.816, 0.816, 0.267], [0.835, 0.386, 0.386]],
  "sg": "R-3m, No. 166",
  "crystal_system": "trigonal",
  "energy_ev_per_cell": -134.31
}

---

{
  "formula": "BaPm3As4O12",
  "functional": "PBE",
  "state": "optimized geometry",
  "cell": [[5.834, 3.368, 3.026], [-5.834, 3.368, 3.026], [0.000, -6.737, 3.026]],
  "species": ["Ba", "Pm", "Pm", "Pm", "As", "As", "As", "As", "O", "O", "O", "O", "O", "O", "O", "O", "O", "O", "O", "O"],
  "frac_coords": [[0.000, 0.000, 0.000], [0.000, 0.565, 0.435], [0.435, 0.000, 0.565], [0.565, 0.435, 0.000], [0.084, 0.500, 0.916], [0.500, 0.500, 0.500], [0.500, 0.916, 0.084], [0.916, 0.084, 0.500], [0.012, 0.244, 0.364], [0.068, 0.932, 0.500], [0.244, 0.364, 0.012], [0.335, 0.665, 0.500], [0.364, 0.012, 0.244], [0.500, 0.068, 0.932], [0.500, 0.335, 0.665], [0.636, 0.756, 0.988], [0.665, 0.500, 0.335], [0.756, 0.988, 0.636], [0.932, 0.500, 0.068], [0.988, 0.636, 0.756]],
  "sg": "R32, No. 155",
  "crystal_system": "trigonal",
  "energy_ev_per_cell": -132.54
}

---

{
  "formula": "BaPrAs2O8",
  "functional": "PBE",
  "state": "optimized geometry",
  "cell": [[5.789, 0.000, 0.000], [-2.894, 5.013, 0.000], [0.000, 0.000, 7.942]],
  "species": ["Ba", "Pr", "As", "As", "O", "O", "O", "O", "O", "O", "O", "O"],
  "frac_coords": [[0.000, 0.000, 0.000], [0.000, 0.000, 0.500], [0.333, 0.667, 0.773], [0.667, 0.333, 0.227], [0.169, 0.342, 0.705], [0.173, 0.831, 0.705], [0.333, 0.667, 0.990], [0.342, 0.173, 0.295], [0.658, 0.827, 0.705], [0.667, 0.333, 0.010], [0.827, 0.169, 0.295], [0.831, 0.658, 0.295]],
  "sg": "P-3, No. 147",
  "crystal_system": "trigonal",
  "energy_ev_per_cell": -79.14
}

---

{
  "formula": "Ba2PrAs2O6",
  "functional": "PBE",
  "state": "optimized geometry",
  "cell": [[4.993, -2.879, 0.000], [4.993, 2.879, 0.000], [-3.334, 0.000, 6.604]],
  "species": ["Ba", "Ba", "Pr", "As", "As", "O", "O", "O", "O", "O", "O"],
  "frac_coords": [[0.208, 0.208, 0.124], [0.792, 0.792, 0.876], [0.000, 0.000, 0.500], [0.383, 0.383, 0.648], [0.617, 0.617, 0.352], [0.252, 0.738, 0.226], [0.262, 0.748, 0.774], [0.263, 0.263, 0.774], [0.737, 0.737, 0.226], [0.738, 0.252, 0.226], [0.748, 0.262, 0.774]],
  "sg": "C2/m, No. 12",
  "crystal_system": "monoclinic",
  "energy_ev_per_cell": -71.61
}

---

{
  "formula": "BaAs2PtO8",
  "functional": "PBE",
  "state": "optimized geometry",
  "cell": [[5.040, 0.000, 0.000], [-2.520, 4.365, 0.000], [0.000, 0.000, 8.081]],
  "species": ["Ba", "As", "As", "Pt", "O", "O", "O", "O", "O", "O", "O", "O"],
  "frac_coords": [[0.000, 0.000, 0.000], [0.333, 0.667, 0.713], [0.667, 0.333, 0.287], [0.000, 0.000, 0.500], [0.013, 0.318, 0.657], [0.305, 0.987, 0.657], [0.318, 0.305, 0.343], [0.333, 0.667, 0.923], [0.667, 0.333, 0.077], [0.682, 0.695, 0.657], [0.695, 0.013, 0.343], [0.987, 0.682, 0.343]],
  "sg": "P-3, No. 147",
  "crystal_system": "trigonal",
  "energy_ev_per_cell": -73.47
}

---

{
  "formula": "Ba2AsPtO",
  "functional": "PBE",
  "state": "optimized geometry",
  "cell": [[6.141, 0.000, 0.000], [0.000, 6.141, 0.000], [0.000, 0.000, 3.913]],
  "species": ["Ba", "Ba", "As", "Pt", "O"],
  "frac_coords": [[0.000, 0.500, 0.000], [0.500, 0.000, 0.000], [0.000, 0.000, 0.500], [0.500, 0.500, 0.000], [0.500, 0.500, 0.500]],
  "sg": "P4/mmm, No. 123",
  "crystal_system": "tetragonal",
  "energy_ev_per_cell": -23.75
}

---

{
  "formula": "BaPuAsO6",
  "functional": "PBE",
  "state": "optimized geometry",
  "cell": [[5.482, 0.000, 0.000], [-0.008, 5.781, 0.000], [-0.022, -2.858, 5.226]],
  "species": ["Ba", "Pu", "As", "O", "O", "O", "O", "O", "O"],
  "frac_coords": [[0.000, 0.000, 0.000], [0.490, 0.344, 0.671], [0.478, 0.740, 0.411], [0.271, 0.369, 0.922], [0.291, 0.657, 0.614], [0.292, 0.012, 0.394], [0.675, 0.993, 0.656], [0.695, 0.324, 0.411], [0.700, 0.602, 0.929]],
  "sg": "P1, No. 1",
  "crystal_system": "triclinic",
  "energy_ev_per_cell": -70.45
}

---

The records above give, respectively, V values of 87.2 321.2 356.7 230.5 189.9 177.7 147.6 165.6 Å³/cell.
The records above give, respectively, size of the total moment values of 0.00 0.00 0.00 1.04 0.00 0.00 0.00 1.00 μB/cell.
The records above give, respectively, ΔE_f (raw) values of -95 -233 -185 -189 -210 -133 -82 -212 kJ/mol of atoms.